Material: K2NiP
Method: DFT, PBE
State: relaxed

Structure (CIF):
```
data_K2NiP
_chemical_formula_sum 'K2 Ni1 P1'
_cell_length_a 3.302
_cell_length_b 3.318
_cell_length_c 9.807
_cell_angle_alpha 90.00
_cell_angle_beta 90.00
_cell_angle_gamma 90.00
_space_group_name_H-M_alt 'P m m 2'
_space_group_IT_number 25
loop_
_space_group_symop_operation_xyz
'x,y,z'
'-x,-y,z'
'-x,y,z'
'x,-y,z'
loop_
_atom_site_label
_atom_site_type_symbol
_atom_site_fract_x
_atom_site_fract_y
_atom_site_fract_z
K1 K 0.000 0.000 0.000
K2 K 0.500 0.500 0.425
Ni1 Ni 0.500 0.500 0.733
P1 P 0.000 0.000 0.677
```

Results
mass density = 2.59 g/cm3
volume = 26.86 A^3/atom
DFT formation energy = 0.04 eV per atom